Computed, not measured: a relaxed structure of LiV2Se3 at the PBE-GGA level of DFT.

The uncorrected formation energy is -0.683 eV/atom. The value obtained for the volume is 19.68 Å³ per atom. Its energy above the most stable polymorph in this dataset is 34 meV per atom. As for the total magnetization: 2.14 Bohr magnetons per cell. For the total energy, the calculation gives -5.78 eV/atom.

The structure belongs to space group C2/m (No. 12); the cell edges are 19.486, 3.654 and 7.127 Å and the angles 90.00°, 111.42° and 90.00°. Symmetry generates all atoms from Li at (0.145, 0.000, 0.390), V at (0.090, 0.500, 0.945), V at (0.200, 0.000, 0.980), Se at (0.050, 0.500, 0.231), Se at (0.084, 0.000, 0.707) and Se at (0.224, 0.500, 0.233).

---

Computed, not measured: a relaxed structure of Li2VSe at the PBE-GGA level of DFT.

The uncorrected formation energy is -0.060 eV/atom. The value obtained for the volume is 19.73 Å³ per atom. As for the total magnetization: 13.50 Bohr magnetons per cell. For the total energy, the calculation gives -4.17 eV/atom.

The structure belongs to space group I-42d (No. 122); the cell edges are 8.016, 8.016 and 4.913 Å and the angles 90.00°, 90.00° and 90.00°. Symmetry generates all atoms from Li at (0.174, 0.250, 0.125), V at (0.000, 0.000, 0.500) and Se at (0.000, 0.000, 0.000).

---

Computed, not measured: a relaxed structure of Li3VSe at the PBE-GGA level of DFT.

The uncorrected formation energy is 0.094 eV/atom. The value obtained for the volume is 22.37 Å³ per atom. Its energy above the most stable polymorph in this dataset is 0 meV per atom. As for the total magnetization: 4.30 Bohr magnetons per cell. For the total energy, the calculation gives -3.57 eV/atom.

The structure belongs to space group Pm-3m (No. 221); the cell edges are 4.818, 4.818 and 4.818 Å and the angles 90.00°, 90.00° and 90.00°. Symmetry generates all atoms from Li at (0.000, 0.000, 0.500), V at (0.500, 0.500, 0.500) and Se at (0.000, 0.000, 0.000).

---

Computed, not measured: a relaxed structure of LiV2ZnSe at the PBE-GGA level of DFT.

The uncorrected formation energy is 0.401 eV/atom. The value obtained for the volume is 18.10 Å³ per atom. As for the total magnetization: 0.89 Bohr magnetons per cell. For the total energy, the calculation gives -4.58 eV/atom.

The structure belongs to space group P4/mmm (No. 123); the cell edges are 4.534, 4.534 and 4.402 Å and the angles 90.00°, 90.00° and 90.00°. Symmetry generates all atoms from Li at (0.000, 0.000, 0.000), V at (0.000, 0.500, 0.500), Zn at (0.500, 0.500, 0.000) and Se at (0.000, 0.000, 0.500).

---

Computed, not measured: a relaxed structure of Li2WSe at the PBE-GGA level of DFT.

The uncorrected formation energy is 0.111 eV/atom. The value obtained for the volume is 16.16 Å³ per atom. As for the total magnetization: 0.00 Bohr magnetons per cell. For the total energy, the calculation gives -4.96 eV/atom.

The structure belongs to space group P4/mmm (No. 123); the cell edges are 2.713, 2.713 and 8.777 Å and the angles 90.00°, 90.00° and 90.00°. Symmetry generates all atoms from Li at (0.000, 0.000, 0.240), W at (0.500, 0.500, 0.500) and Se at (0.500, 0.500, 0.000).

---

Computed, not measured: a relaxed structure of LiWSe2 at the PBE-GGA level of DFT.

The uncorrected formation energy is -0.099 eV/atom. The value obtained for the volume is 16.09 Å³ per atom. Its energy above the most stable polymorph in this dataset is 284 meV per atom. As for the total magnetization: 3.68 Bohr magnetons per cell. For the total energy, the calculation gives -5.56 eV/atom.

The structure belongs to space group Fm-3m (No. 225); the cell edges are 6.362, 6.362 and 6.362 Å and the angles 90.00°, 90.00° and 90.00°. Symmetry generates all atoms from Li at (0.000, 0.000, 0.000), W at (0.000, 0.000, 0.500) and Se at (0.250, 0.250, 0.250).

---

Computed, not measured: a relaxed structure of LiWSe2 at the PBE-GGA level of DFT.

The uncorrected formation energy is -0.383 eV/atom. The value obtained for the volume is 17.92 Å³ per atom. Its energy above the most stable polymorph in this dataset is 0 meV per atom. As for the total magnetization: 0.00 Bohr magnetons per cell. For the total energy, the calculation gives -5.84 eV/atom.

The structure belongs to space group C2/m (No. 12); the cell edges are 5.860, 3.382 and 7.489 Å and the angles 90.00°, 105.00° and 90.00°. Symmetry generates all atoms from Li at (0.000, 0.000, 0.000), W at (0.000, 0.500, 0.500) and Se at (0.245, 0.000, 0.738).

---

Computed, not measured: a relaxed structure of LiWSe2 at the PBE-GGA level of DFT.

The uncorrected formation energy is -0.287 eV/atom. The value obtained for the volume is 20.42 Å³ per atom. Its energy above the most stable polymorph in this dataset is 95 meV per atom. As for the total magnetization: 0.00 Bohr magnetons per cell. For the total energy, the calculation gives -5.75 eV/atom.

The structure belongs to space group R-3m (No. 166, hexagonal axes); the cell edges are 3.3590, 3.3590 and 25.0786 Å and the angles 90.00°, 90.00° and 120.00°. Symmetry generates all atoms from Li at (0.0000, 0.0000, 0.0000), W at (0.0000, 0.0000, 0.5000) and Se at (0.0000, 0.0000, 0.0987).

---

Question: The lowest volume belongs to which entry?
Answer: number 6

---

Question: Which formula does entry 3 have?
Answer: Li3VSe

---

Copy entry 4 word for word.
Computed, not measured: a relaxed structure of LiV2ZnSe at the PBE-GGA level of DFT.

The uncorrected formation energy is 0.401 eV/atom. The value obtained for the volume is 18.10 Å³ per atom. As for the total magnetization: 0.89 Bohr magnetons per cell. For the total energy, the calculation gives -4.58 eV/atom.

The structure belongs to space group P4/mmm (No. 123); the cell edges are 4.534, 4.534 and 4.402 Å and the angles 90.00°, 90.00° and 90.00°. Symmetry generates all atoms from Li at (0.000, 0.000, 0.000), V at (0.000, 0.500, 0.500), Zn at (0.500, 0.500, 0.000) and Se at (0.000, 0.000, 0.500).

---

Question: What is the formula in the eighth record?
Answer: LiWSe2